Here is crystalline SrB2F8 at its relaxed geometry from Alexandria. Energies are from GGA-PBEsol.

Output
The value obtained for the uncorrected formation energy is -3.2682 eV per atom. The crystal system is orthorhombic.

Geometry as CIF:
```
data_SrB2F8
_cell_length_a 9.251
_cell_length_b 13.773
_cell_length_c 9.591
_cell_angle_alpha 90.00
_cell_angle_beta 90.00
_cell_angle_gamma 90.00
_space_group_name_H-M_alt 'P 1'
_space_group_IT_number 1
loop_
_space_group_symop_operation_xyz
'x,y,z'
loop_
_atom_site_label
_atom_site_fract_x
_atom_site_fract_y
_atom_site_fract_z
Sr1 0.219 0.104 0.034
Sr2 0.219 0.396 0.534
Sr3 0.281 0.604 0.034
Sr4 0.281 0.896 0.534
Sr5 0.719 0.104 0.466
Sr6 0.719 0.396 0.966
Sr7 0.781 0.604 0.466
Sr8 0.781 0.896 0.966
B1 0.007 0.060 0.722
B2 0.007 0.440 0.222
B3 0.178 0.656 0.398
B4 0.178 0.844 0.898
B5 0.322 0.156 0.398
B6 0.322 0.344 0.898
B7 0.493 0.560 0.722
B8 0.493 0.940 0.222
B9 0.507 0.060 0.778
B10 0.507 0.440 0.278
B11 0.678 0.656 0.102
B12 0.678 0.844 0.602
B13 0.822 0.156 0.102
B14 0.822 0.344 0.602
B15 0.993 0.560 0.778
B16 0.993 0.940 0.278
F1 0.027 0.665 0.418
F2 0.027 0.835 0.918
F3 0.075 0.618 0.870
F4 0.075 0.882 0.370
F5 0.083 0.510 0.145
F6 0.083 0.990 0.645
F7 0.088 0.512 0.684
F8 0.088 0.988 0.184
F9 0.103 0.118 0.799
F10 0.103 0.382 0.299
F11 0.214 0.680 0.259
F12 0.214 0.820 0.759
F13 0.221 0.560 0.425
F14 0.221 0.940 0.925
F15 0.250 0.220 0.489
F16 0.250 0.280 0.989
F17 0.250 0.720 0.489
F18 0.250 0.780 0.989
F19 0.279 0.060 0.425
F20 0.279 0.440 0.925
F21 0.286 0.180 0.259
F22 0.286 0.320 0.759
F23 0.397 0.618 0.799
F24 0.397 0.882 0.299
F25 0.412 0.012 0.684
F26 0.412 0.488 0.184
F27 0.417 0.010 0.145
F28 0.417 0.490 0.645
F29 0.425 0.118 0.870
F30 0.425 0.382 0.370
F31 0.473 0.165 0.418
F32 0.473 0.335 0.918
F33 0.527 0.665 0.082
F34 0.527 0.835 0.582
F35 0.575 0.618 0.630
F36 0.575 0.882 0.130
F37 0.583 0.510 0.355
F38 0.583 0.990 0.855
F39 0.588 0.512 0.816
F40 0.588 0.988 0.316
F41 0.603 0.118 0.701
F42 0.603 0.382 0.201
F43 0.714 0.680 0.241
F44 0.714 0.820 0.741
F45 0.721 0.560 0.075
F46 0.721 0.940 0.575
F47 0.750 0.220 0.011
F48 0.750 0.280 0.511
F49 0.750 0.720 0.011
F50 0.750 0.780 0.511
F51 0.779 0.060 0.075
F52 0.779 0.440 0.575
F53 0.786 0.180 0.241
F54 0.786 0.320 0.741
F55 0.897 0.618 0.701
F56 0.897 0.882 0.201
F57 0.912 0.012 0.816
F58 0.912 0.488 0.316
F59 0.917 0.010 0.355
F60 0.917 0.490 0.855
F61 0.925 0.118 0.630
F62 0.925 0.382 0.130
F63 0.973 0.165 0.082
F64 0.973 0.335 0.582
```

---

Here is crystalline Tl2Sb at its relaxed geometry from Alexandria. Energies are from GGA-PBEsol.

Output
The calculation puts the energy relative to the lowest polymorph listed for this composition at 0.05 eV per formula unit. The value obtained for the uncorrected formation energy is 0.0222 eV per atom. The crystal system is hexagonal.

Geometry as CIF:
```
data_Tl2Sb
_cell_length_a 8.120
_cell_length_b 8.120
_cell_length_c 4.709
_cell_angle_alpha 90.00
_cell_angle_beta 90.00
_cell_angle_gamma 120.00
_space_group_name_H-M_alt 'P 1'
_space_group_IT_number 1
loop_
_space_group_symop_operation_xyz
'x,y,z'
loop_
_atom_site_label
_atom_site_fract_x
_atom_site_fract_y
_atom_site_fract_z
Tl1 0.000 0.413 0.000
Tl2 0.000 0.742 0.500
Tl3 0.258 0.258 0.500
Tl4 0.413 0.000 0.000
Tl5 0.587 0.587 0.000
Tl6 0.742 0.000 0.500
Sb1 0.000 0.000 0.000
Sb2 0.333 0.667 0.500
Sb3 0.667 0.333 0.500
```

---

Here is crystalline Ba2CaMgAl2F14 at its relaxed geometry from Alexandria. Energies are from GGA-PBEsol.

Output
The value obtained for the uncorrected formation energy is -3.7718 eV per atom. The crystal system is monoclinic.

Geometry as CIF:
```
data_Ba2CaMgAl2F14
_cell_length_a 7.255
_cell_length_b 7.255
_cell_length_c 14.566
_cell_angle_alpha 91.83
_cell_angle_beta 91.83
_cell_angle_gamma 42.01
_space_group_name_H-M_alt 'P 1'
_space_group_IT_number 1
loop_
_space_group_symop_operation_xyz
'x,y,z'
loop_
_atom_site_label
_atom_site_fract_x
_atom_site_fract_y
_atom_site_fract_z
Ba1 0.153 0.232 0.118
Ba2 0.232 0.153 0.618
Ba3 0.768 0.847 0.382
Ba4 0.847 0.768 0.882
Ca1 0.438 0.562 0.250
Ca2 0.562 0.438 0.750
Mg1 0.500 0.500 0.000
Mg2 0.500 0.500 0.500
Al1 0.111 0.122 0.378
Al2 0.122 0.111 0.878
Al3 0.878 0.889 0.122
Al4 0.889 0.878 0.622
F1 0.039 0.642 0.216
F2 0.056 0.929 0.341
F3 0.071 0.944 0.159
F4 0.108 0.734 0.523
F5 0.156 0.590 0.694
F6 0.175 0.596 0.050
F7 0.200 0.284 0.421
F8 0.266 0.892 0.977
F9 0.284 0.200 0.921
F10 0.358 0.961 0.284
F11 0.377 0.492 0.880
F12 0.404 0.825 0.450
F13 0.410 0.844 0.806
F14 0.492 0.377 0.380
F15 0.508 0.623 0.620
F16 0.590 0.156 0.194
F17 0.596 0.175 0.550
F18 0.623 0.508 0.120
F19 0.642 0.039 0.716
F20 0.716 0.800 0.079
F21 0.734 0.108 0.023
F22 0.800 0.716 0.579
F23 0.825 0.404 0.950
F24 0.844 0.410 0.306
F25 0.892 0.266 0.477
F26 0.929 0.056 0.841
F27 0.944 0.071 0.659
F28 0.961 0.358 0.784
```

---

Here is crystalline Cs3BiAu at its relaxed geometry from Alexandria. Energies are from GGA-PBEsol.

Output
For the formation energy, the calculation gives -74 meV/atom. The crystal system is cubic.

Geometry as CIF:
```
data_Cs3BiAu
_cell_length_a 6.512
_cell_length_b 6.512
_cell_length_c 6.512
_cell_angle_alpha 90.00
_cell_angle_beta 90.00
_cell_angle_gamma 90.00
_space_group_name_H-M_alt 'P 1'
_space_group_IT_number 1
loop_
_space_group_symop_operation_xyz
'x,y,z'
loop_
_atom_site_label
_atom_site_fract_x
_atom_site_fract_y
_atom_site_fract_z
Cs1 0.000 0.000 0.500
Cs2 0.000 0.500 0.000
Cs3 0.500 0.000 0.000
Bi1 0.500 0.500 0.500
Au1 0.000 0.000 0.000
```

---

Here is crystalline CoOs3N at its relaxed geometry from Alexandria. Energies are from GGA-PBEsol.

Output
The value obtained for the uncorrected formation energy is 3.2205 eV per atom. The crystal system is cubic.

Geometry as CIF:
```
data_CoOs3N
_cell_length_a 4.327
_cell_length_b 4.327
_cell_length_c 4.327
_cell_angle_alpha 90.00
_cell_angle_beta 90.00
_cell_angle_gamma 90.00
_space_group_name_H-M_alt 'P 1'
_space_group_IT_number 1
loop_
_space_group_symop_operation_xyz
'x,y,z'
loop_
_atom_site_label
_atom_site_fract_x
_atom_site_fract_y
_atom_site_fract_z
Co1 0.000 0.000 0.000
Os1 0.000 0.000 0.500
Os2 0.000 0.500 0.000
Os3 0.500 0.000 0.000
N1 0.500 0.500 0.500
```

---

Here is crystalline GdZr3F15 at its relaxed geometry from Alexandria. Energies are from GGA-PBEsol.

Output
The value obtained for the uncorrected formation energy is -3.8358 eV per atom. The crystal system is monoclinic.

Geometry as CIF:
```
data_GdZr3F15
_cell_length_a 8.118
_cell_length_b 8.118
_cell_length_c 8.116
_cell_angle_alpha 100.32
_cell_angle_beta 100.32
_cell_angle_gamma 99.81
_space_group_name_H-M_alt 'P 1'
_space_group_IT_number 1
loop_
_space_group_symop_operation_xyz
'x,y,z'
loop_
_atom_site_label
_atom_site_fract_x
_atom_site_fract_y
_atom_site_fract_z
Gd1 0.177 0.823 0.750
Gd2 0.823 0.177 0.250
Zr1 0.246 0.754 0.250
Zr2 0.257 0.322 0.674
Zr3 0.322 0.257 0.174
Zr4 0.678 0.743 0.826
Zr5 0.743 0.678 0.326
Zr6 0.754 0.246 0.750
F1 0.009 0.274 0.778
F2 0.050 0.252 0.472
F3 0.066 0.191 0.147
F4 0.157 0.535 0.682
F5 0.191 0.066 0.647
F6 0.224 0.496 0.220
F7 0.228 0.718 0.998
F8 0.252 0.050 0.972
F9 0.274 0.009 0.278
F10 0.282 0.772 0.502
F11 0.319 0.351 0.945
F12 0.351 0.319 0.445
F13 0.465 0.843 0.818
F14 0.468 0.532 0.750
F15 0.496 0.224 0.720
F16 0.504 0.776 0.280
F17 0.532 0.468 0.250
F18 0.535 0.157 0.182
F19 0.649 0.681 0.555
F20 0.681 0.649 0.055
F21 0.718 0.228 0.498
F22 0.726 0.991 0.722
F23 0.748 0.950 0.028
F24 0.772 0.282 0.002
F25 0.776 0.504 0.780
F26 0.809 0.934 0.353
F27 0.843 0.465 0.318
F28 0.934 0.809 0.853
F29 0.950 0.748 0.528
F30 0.991 0.726 0.222
```

---

Number 1: total magnetization 0.02 Bohr magnetons per cell. Number 2: total magnetization 0.00 Bohr magnetons per cell. Number 3: total magnetization 0.21 Bohr magnetons per cell. Number 4: total magnetization 1.03 Bohr magnetons per cell. Number 5: total magnetization 2.07 Bohr magnetons per cell. Number 6: total magnetization 14.00 Bohr magnetons per cell.